! Rb2InAg, relaxed, DFT PBE; values from VASP
! Calculated formation energy ... 0.0796 eV/atom
&SYSTEM
  ibrav = 0, nat = 8, ntyp = 3
/
ATOMIC_SPECIES
Rb 85.47 Rb.upf
In 114.82 In.upf
Ag 107.87 Ag.upf
CELL_PARAMETERS angstrom
-6.440 6.440 2.687
6.440 -6.440 2.687
6.440 6.440 -2.687
ATOMIC_POSITIONS crystal
Rb 0.375 0.213 0.338
Rb 0.787 0.125 0.162
Rb 0.875 0.037 0.662
Rb 0.963 0.625 0.838
In 0.250 0.750 0.500
In 0.500 0.500 0.000
Ag 0.000 0.000 0.000
Ag 0.750 0.250 0.500